VASP calculation (GGA-PBE) on a relaxed structure of ReHgB2.

- space group = No. 216

a b c (Å): 4.2304 4.2304 4.2304
angles (deg): 60.00 60.00 60.00
Fractional coordinates of all 4 atoms:
1 Re 0.0000 0.0000 0.0000
2 Hg 0.2500 0.2500 0.2500
3 B 0.5000 0.5000 0.5000
4 B 0.7500 0.7500 0.7500



VASP calculation (GGA-PBE) on a relaxed structure of ReHgB.

- space group = No. 216

a b c (Å): 3.9401 3.9401 3.9401
angles (deg): 60.00 60.00 60.00
Fractional coordinates of all 3 atoms:
1 Re 0.0000 0.0000 0.0000
2 Hg 0.5000 0.5000 0.5000
3 B 0.7500 0.7500 0.7500



VASP calculation (GGA-PBE) on a relaxed structure of ReHgB4.

- space group = No. 71

a b c (Å): 4.8293 4.8293 4.8293
angles (deg): 143.19 113.77 78.25
Fractional coordinates of all 6 atoms:
1 Re 0.0000 0.0000 0.0000
2 Hg 0.5000 0.5000 0.0000
3 B 0.0847 0.7447 0.3400
4 B 0.4047 0.7447 0.6600
5 B 0.5953 0.2553 0.3400
6 B 0.9153 0.2553 0.6600



VASP calculation (GGA-PBE) on a relaxed structure of ReHgB4.

- space group = No. 191

a b c (Å): 2.9410 2.9410 9.6157
angles (deg): 90.00 90.00 120.00
Fractional coordinates of all 6 atoms:
1 Re 0.0000 0.0000 0.0000
2 Hg 0.0000 0.0000 0.5000
3 B 0.3333 0.6667 0.1766
4 B 0.3333 0.6667 0.8234
5 B 0.6667 0.3333 0.1766
6 B 0.6667 0.3333 0.8234



VASP calculation (GGA-PBE) on a relaxed structure of HgB2Sb.

- space group = No. 216

a b c (Å): 4.6409 4.6409 4.6409
angles (deg): 60.00 60.00 60.00
Fractional coordinates of all 4 atoms:
1 Hg 0.0000 0.0000 0.0000
2 B 0.2500 0.2500 0.2500
3 B 0.5000 0.5000 0.5000
4 Sb 0.7500 0.7500 0.7500



VASP calculation (GGA-PBE) on a relaxed structure of HgBSb2.

- space group = No. 216

a b c (Å): 5.0418 5.0418 5.0418
angles (deg): 60.00 60.00 60.00
Fractional coordinates of all 4 atoms:
1 Hg 0.0000 0.0000 0.0000
2 B 0.7500 0.7500 0.7500
3 Sb 0.2500 0.2500 0.2500
4 Sb 0.5000 0.5000 0.5000



DFT total energy: -4.372, -5.384, -5.853, -6.315, -2.570, -2.719 (eV/atom)